1.
{
  "formula": "La3Nd5Sm4",
  "functional": "GGA-PBE",
  "state": "relaxed",
  "polymorph_energy_kcal_per_mol_atoms": 4.29,
  "space_group": "C2/m (12)",
  "e_form_mev_per_atom": 202,
  "dft_energy_ev_per_cell": -55.071,
  "m_tot_mub_per_cell": 0.23,
  "lattice_angstrom": [[8.268, -3.051, 0.000], [8.268, 3.051, 0.000], [-4.198, 0.000, 8.509]],
  "species": ["La", "La", "La", "Nd", "Nd", "Nd", "Nd", "Nd", "Sm", "Sm", "Sm", "Sm"],
  "frac_coords": [[0.000, 0.000, 0.000], [0.294, 0.294, 0.782], [0.706, 0.706, 0.218], [0.075, 0.075, 0.699], [0.173, 0.173, 0.394], [0.500, 0.500, 0.000], [0.827, 0.827, 0.606], [0.925, 0.925, 0.301], [0.291, 0.291, 0.129], [0.420, 0.420, 0.562], [0.580, 0.580, 0.438], [0.709, 0.709, 0.871]]
}

2.
{
  "formula": "Hf5Ga3",
  "functional": "GGA-PBE",
  "state": "relaxed",
  "polymorph_energy_kcal_per_mol_atoms": 1.43,
  "space_group": "I4/mcm (140)",
  "e_form_mev_per_atom": -383,
  "dft_energy_ev_per_cell": -123.819,
  "m_tot_mub_per_cell": 0.00,
  "lattice_angstrom": [[-3.580, 3.580, 6.134], [3.580, -3.580, 6.134], [3.580, 3.580, -6.134]],
  "species": ["Hf", "Hf", "Hf", "Hf", "Hf", "Hf", "Hf", "Hf", "Hf", "Hf", "Ga", "Ga", "Ga", "Ga", "Ga", "Ga"],
  "frac_coords": [[0.000, 0.000, 0.000], [0.005, 0.505, 0.816], [0.188, 0.005, 0.500], [0.312, 0.812, 0.816], [0.495, 0.312, 0.500], [0.500, 0.500, 0.000], [0.505, 0.688, 0.500], [0.688, 0.188, 0.184], [0.812, 0.995, 0.500], [0.995, 0.495, 0.184], [0.137, 0.363, 0.500], [0.250, 0.250, 0.000], [0.363, 0.863, 0.226], [0.637, 0.137, 0.774], [0.750, 0.750, 0.000], [0.863, 0.637, 0.500]]
}